The following is a DFT calculation (PBE) of crystalline CeZn2SiPd2 at its relaxed geometry.

Unit cell a=4.586 b=4.586 c=5.643 alpha=90.00 beta=90.00 gamma=90.00
Space group P4/mmm (No. 123)
Unique sites:
Ce 0.000 0.000 0.000 x1
Zn 0.500 0.500 0.234 x2
Si 0.000 0.000 0.500 x1
Pd 0.000 0.500 0.500 x2

Values from the calculation:
Calculated density (g/cm3): 7.16
Spin magnetization (μB/f.u.): 1.21
ΔE_f (raw) (eV per formula unit): -2.317
Calculated volume (Å³/f.u.): 118.7
Raw total energy (eV per cell): -26.61